(i)
# KGe3Pt2

A relaxed structure of KGe3Pt2 (PBE, the Alexandria database).

a b c (Å): 9.121 9.121 9.121
angles (deg): 60.00 60.00 60.00
Element x y z (fractional)
K (0.000, 0.000, 0.000)
K (0.000, 0.000, 0.500)
K (0.000, 0.500, 0.000)
K (0.500, 0.000, 0.000)
Ge (0.161, 0.161, 0.589)
Ge (0.161, 0.589, 0.161)
Ge (0.161, 0.589, 0.589)
Ge (0.411, 0.411, 0.839)
Ge (0.411, 0.839, 0.411)
Ge (0.411, 0.839, 0.839)
Ge (0.589, 0.161, 0.161)
Ge (0.589, 0.161, 0.589)
Ge (0.589, 0.589, 0.161)
Ge (0.839, 0.411, 0.411)
Ge (0.839, 0.411, 0.839)
Ge (0.839, 0.839, 0.411)
Pt (0.261, 0.261, 0.261)
Pt (0.261, 0.261, 0.718)
Pt (0.261, 0.718, 0.261)
Pt (0.282, 0.739, 0.739)
Pt (0.718, 0.261, 0.261)
Pt (0.739, 0.282, 0.739)
Pt (0.739, 0.739, 0.282)
Pt (0.739, 0.739, 0.739)

## Properties
crystal system: cubic
D(E_F): 0.285 states/eV per atom

***

(ii)
# KGe3Pt2

A relaxed structure of KGe3Pt2 (PBE, the Alexandria database).

a b c (Å): 7.593 7.593 7.593
angles (deg): 68.11 68.11 68.11
Element x y z (fractional)
K (0.195, 0.195, 0.195)
K (0.805, 0.805, 0.805)
Ge (0.200, 0.200, 0.681)
Ge (0.200, 0.681, 0.200)
Ge (0.319, 0.800, 0.800)
Ge (0.681, 0.200, 0.200)
Ge (0.800, 0.319, 0.800)
Ge (0.800, 0.800, 0.319)
Pt (0.000, 0.000, 0.000)
Pt (0.000, 0.500, 0.500)
Pt (0.500, 0.000, 0.500)
Pt (0.500, 0.500, 0.000)

## Properties
crystal system: trigonal
D(E_F): 0.477 states/eV per atom

***

Short version: (i) is the least stable of them.

***

(i)
# KGePt3

A relaxed structure of KGePt3 (PBE, the Alexandria database).

a b c (Å): 4.796 4.796 4.796
angles (deg): 90.00 90.00 90.00
Element x y z (fractional)
K (0.000, 0.000, 0.000)
Ge (0.500, 0.500, 0.500)
Pt (0.000, 0.500, 0.500)
Pt (0.500, 0.000, 0.500)
Pt (0.500, 0.500, 0.000)

## Properties
crystal system: cubic
D(E_F): 1.273 states/eV per atom

***

(ii)
# KGePt3

A relaxed structure of KGePt3 (PBE, the Alexandria database).

a b c (Å): 6.836 6.836 6.836
angles (deg): 132.19 109.20 89.98
Element x y z (fractional)
K (0.000, 0.000, 0.000)
K (0.500, 0.000, 0.500)
Ge (0.322, 0.322, 0.000)
Ge (0.678, 0.678, 0.000)
Pt (0.000, 0.000, 0.500)
Pt (0.000, 0.500, 0.000)
Pt (0.270, 0.500, 0.770)
Pt (0.500, 0.000, 0.000)
Pt (0.500, 0.500, 0.500)
Pt (0.730, 0.500, 0.230)

## Properties
crystal system: orthorhombic
D(E_F): 0.568 states/eV per atom

***

(iii)
# KGePt3

A relaxed structure of KGePt3 (PBE, the Alexandria database).

a b c (Å): 4.963 4.963 4.963
angles (deg): 90.00 90.00 90.00
Element x y z (fractional)
K (0.000, 0.000, 0.000)
Ge (0.500, 0.500, 0.500)
Pt (0.000, 0.000, 0.500)
Pt (0.000, 0.500, 0.000)
Pt (0.500, 0.000, 0.000)

## Properties
crystal system: cubic
D(E_F): 1.746 states/eV per atom

***

Short version: (iii) is the least stable of them.

***

(i)
# K2GePt2

A relaxed structure of K2GePt2 (PBE, the Alexandria database).

a b c (Å): 6.523 6.523 5.593
angles (deg): 90.00 90.00 90.00
Element x y z (fractional)
K (0.174, 0.326, 0.000)
K (0.326, 0.826, 0.000)
K (0.674, 0.174, 0.000)
K (0.826, 0.674, 0.000)
Ge (0.000, 0.000, 0.500)
Ge (0.500, 0.500, 0.500)
Pt (0.145, 0.645, 0.500)
Pt (0.355, 0.145, 0.500)
Pt (0.645, 0.855, 0.500)
Pt (0.855, 0.355, 0.500)

## Properties
crystal system: tetragonal
D(E_F): 0.594 states/eV per atom

***

(ii)
# K2GePt2

A relaxed structure of K2GePt2 (PBE, the Alexandria database).

a b c (Å): 5.912 5.912 7.636
angles (deg): 95.87 95.87 72.25
Element x y z (fractional)
K (0.021, 0.262, 0.123)
K (0.262, 0.021, 0.623)
K (0.738, 0.979, 0.377)
K (0.979, 0.738, 0.877)
Ge (0.465, 0.535, 0.250)
Ge (0.535, 0.465, 0.750)
Pt (0.222, 0.509, 0.492)
Pt (0.491, 0.778, 0.008)
Pt (0.509, 0.222, 0.992)
Pt (0.778, 0.491, 0.508)

## Properties
crystal system: monoclinic
D(E_F): 0.279 states/eV per atom

***

Short version: (i) is the least stable of them.

***

(i)
# KGe3Pt

A relaxed structure of KGe3Pt (PBE, the Alexandria database).

a b c (Å): 5.062 5.062 5.062
angles (deg): 90.00 90.00 90.00
Element x y z (fractional)
K (0.000, 0.000, 0.000)
Ge (0.000, 0.500, 0.500)
Ge (0.500, 0.000, 0.500)
Ge (0.500, 0.500, 0.000)
Pt (0.500, 0.500, 0.500)

## Properties
crystal system: cubic
D(E_F): 1.310 states/eV per atom

***

(ii)
# KGe3Pt

A relaxed structure of KGe3Pt (PBE, the Alexandria database).

a b c (Å): 5.220 5.220 5.220
angles (deg): 90.00 90.00 90.00
Element x y z (fractional)
K (0.000, 0.000, 0.000)
Ge (0.000, 0.000, 0.500)
Ge (0.000, 0.500, 0.000)
Ge (0.500, 0.000, 0.000)
Pt (0.500, 0.500, 0.500)

## Properties
crystal system: cubic
D(E_F): 0.561 states/eV per atom

***

Short version: (ii) is the least stable of them.

***

(i)
# K3GePt

A relaxed structure of K3GePt (PBE, the Alexandria database).

a b c (Å): 12.270 12.270 4.774
angles (deg): 90.00 90.00 90.00
Element x y z (fractional)
K (0.031, 0.317, 0.000)
K (0.103, 0.103, 0.500)
K (0.183, 0.531, 0.500)
K (0.317, 0.031, 0.000)
K (0.397, 0.603, 0.000)
K (0.469, 0.817, 0.500)
K (0.531, 0.183, 0.500)
K (0.603, 0.397, 0.000)
K (0.683, 0.969, 0.000)
K (0.817, 0.469, 0.500)
K (0.897, 0.897, 0.500)
K (0.969, 0.683, 0.000)
Ge (0.191, 0.809, 0.500)
Ge (0.309, 0.309, 0.000)
Ge (0.691, 0.691, 0.000)
Ge (0.809, 0.191, 0.500)
Pt (0.199, 0.801, 0.000)
Pt (0.301, 0.301, 0.500)
Pt (0.699, 0.699, 0.500)
Pt (0.801, 0.199, 0.000)

## Properties
crystal system: tetragonal
D(E_F): 0.508 states/eV per atom

***

(ii)
# K3GePt

A relaxed structure of K3GePt (PBE, the Alexandria database).

a b c (Å): 6.147 6.147 6.147
angles (deg): 90.00 90.00 90.00
Element x y z (fractional)
K (0.000, 0.000, 0.500)
K (0.000, 0.500, 0.000)
K (0.500, 0.000, 0.000)
Ge (0.500, 0.500, 0.500)
Pt (0.000, 0.000, 0.000)

## Properties
crystal system: cubic
D(E_F): 0.000 states/eV per atom

***

Short version: (ii) is the least stable of them.

***

(i)
# KPuGe2

A relaxed structure of KPuGe2 (PBE, the Alexandria database).

a b c (Å): 6.968 6.968 6.968
angles (deg): 40.42 40.42 40.42
Element x y z (fractional)
K (0.000, 0.000, 0.000)
Pu (0.500, 0.500, 0.500)
Ge (0.208, 0.208, 0.208)
Ge (0.792, 0.792, 0.792)

## Properties
crystal system: trigonal
D(E_F): 3.092 states/eV per atom

***

(ii)
# KPuGe2

A relaxed structure of KPuGe2 (PBE, the Alexandria database).

a b c (Å): 3.271 3.271 9.304
angles (deg): 90.00 90.00 90.00
Element x y z (fractional)
K (0.000, 0.000, 0.000)
Pu (0.000, 0.000, 0.500)
Ge (0.500, 0.500, 0.279)
Ge (0.500, 0.500, 0.721)

## Properties
crystal system: tetragonal
D(E_F): 1.659 states/eV per atom

***

Short version: (i) is the least stable of them.

***

(i)
# KRb2Ge2

A relaxed structure of KRb2Ge2 (PBE, the Alexandria database).

a b c (Å): 8.949 8.949 5.515
angles (deg): 90.00 90.00 90.00
Element x y z (fractional)
K (0.000, 0.000, 0.000)
K (0.500, 0.500, 0.000)
Rb (0.181, 0.319, 0.500)
Rb (0.319, 0.819, 0.500)
Rb (0.681, 0.181, 0.500)
Rb (0.819, 0.681, 0.500)
Ge (0.092, 0.592, 0.000)
Ge (0.408, 0.092, 0.000)
Ge (0.592, 0.908, 0.000)
Ge (0.908, 0.408, 0.000)

## Properties
crystal system: tetragonal
D(E_F): 0.923 states/eV per atom

***

(ii)
# KRb2Ge2

A relaxed structure of KRb2Ge2 (PBE, the Alexandria database).

a b c (Å): 7.671 7.671 7.671
angles (deg): 134.08 134.08 66.97
Element x y z (fractional)
K (0.000, 0.000, 0.000)
Rb (0.367, 0.367, 0.000)
Rb (0.633, 0.633, 0.000)
Ge (0.250, 0.750, 0.500)
Ge (0.750, 0.250, 0.500)

## Properties
crystal system: tetragonal
D(E_F): 0.586 states/eV per atom

***

(iii)
# KRb2Ge2

A relaxed structure of KRb2Ge2 (PBE, the Alexandria database).

a b c (Å): 8.057 8.057 8.057
angles (deg): 139.53 139.53 58.57
Element x y z (fractional)
K (0.000, 0.000, 0.000)
Rb (0.250, 0.750, 0.500)
Rb (0.750, 0.250, 0.500)
Ge (0.418, 0.418, 0.000)
Ge (0.582, 0.582, 0.000)

## Properties
crystal system: tetragonal
D(E_F): 0.871 states/eV per atom

***

(iv)
# KRb2Ge2

A relaxed structure of KRb2Ge2 (PBE, the Alexandria database).

a b c (Å): 6.566 6.566 10.991
angles (deg): 105.20 105.20 37.11
Element x y z (fractional)
K (0.000, 0.000, 0.000)
Rb (0.326, 0.326, 0.314)
Rb (0.674, 0.674, 0.686)
Ge (0.268, 0.268, 0.945)
Ge (0.732, 0.732, 0.055)

## Properties
crystal system: monoclinic
D(E_F): 0.738 states/eV per atom

***

Short version: (ii) is the least stable of them.

***

(i)
# KReGe3

A relaxed structure of KReGe3 (PBE, the Alexandria database).

a b c (Å): 4.929 4.929 4.929
angles (deg): 90.00 90.00 90.00
Element x y z (fractional)
K (0.000, 0.000, 0.000)
Re (0.500, 0.500, 0.500)
Ge (0.000, 0.500, 0.500)
Ge (0.500, 0.000, 0.500)
Ge (0.500, 0.500, 0.000)

## Properties
crystal system: cubic
D(E_F): 0.781 states/eV per atom

***

(ii)
# KReGe3

A relaxed structure of KReGe3 (PBE, the Alexandria database).

a b c (Å): 5.018 5.018 5.018
angles (deg): 90.00 90.00 90.00
Element x y z (fractional)
K (0.000, 0.000, 0.000)
Re (0.500, 0.500, 0.500)
Ge (0.000, 0.000, 0.500)
Ge (0.000, 0.500, 0.000)
Ge (0.500, 0.000, 0.000)

## Properties
crystal system: cubic
D(E_F): 2.235 states/eV per atom

***

Short version: (ii) is the least stable of them.

***

(i)
# K2Re2Ge

A relaxed structure of K2Re2Ge (PBE, the Alexandria database).

a b c (Å): 11.914 11.914 11.914
angles (deg): 163.13 163.13 23.94
Element x y z (fractional)
K (0.113, 0.113, 0.000)
K (0.887, 0.887, 0.000)
Re (0.250, 0.750, 0.500)
Re (0.750, 0.250, 0.500)
Ge (0.500, 0.500, 0.000)

## Properties
crystal system: tetragonal
D(E_F): 0.886 states/eV per atom

***

(ii)
# K2Re2Ge

A relaxed structure of K2Re2Ge (PBE, the Alexandria database).

a b c (Å): 10.371 10.371 2.691
angles (deg): 90.00 90.00 90.00
Element x y z (fractional)
K (0.207, 0.293, 0.000)
K (0.293, 0.793, 0.000)
K (0.707, 0.207, 0.000)
K (0.793, 0.707, 0.000)
Re (0.075, 0.575, 0.500)
Re (0.425, 0.075, 0.500)
Re (0.575, 0.925, 0.500)
Re (0.925, 0.425, 0.500)
Ge (0.000, 0.000, 0.000)
Ge (0.500, 0.500, 0.000)

## Properties
crystal system: tetragonal
D(E_F): 0.701 states/eV per atom

***

Short version: (ii) is the least stable of them.

***

(i)
# KRe3Ge

A relaxed structure of KRe3Ge (PBE, the Alexandria database).

a b c (Å): 4.599 4.599 4.599
angles (deg): 90.00 90.00 90.00
Element x y z (fractional)
K (0.000, 0.000, 0.000)
Re (0.000, 0.000, 0.500)
Re (0.000, 0.500, 0.000)
Re (0.500, 0.000, 0.000)
Ge (0.500, 0.500, 0.500)

## Properties
crystal system: cubic
D(E_F): 1.847 states/eV per atom

***

(ii)
# KRe3Ge

A relaxed structure of KRe3Ge (PBE, the Alexandria database).

a b c (Å): 4.712 4.712 4.712
angles (deg): 90.00 90.00 90.00
Element x y z (fractional)
K (0.000, 0.000, 0.000)
Re (0.000, 0.500, 0.500)
Re (0.500, 0.000, 0.500)
Re (0.500, 0.500, 0.000)
Ge (0.500, 0.500, 0.500)

## Properties
crystal system: cubic
D(E_F): 2.266 states/eV per atom

***

Short version: (i) is the least stable of them.

***

(i)
# KGe2Rh2

A relaxed structure of KGe2Rh2 (PBE, the Alexandria database).

a b c (Å): 6.463 6.463 6.463
angles (deg): 141.93 141.93 54.94
Element x y z (fractional)
K (0.000, 0.000, 0.000)
Ge (0.359, 0.359, 0.000)
Ge (0.641, 0.641, 0.000)
Rh (0.250, 0.750, 0.500)
Rh (0.750, 0.250, 0.500)

## Properties
crystal system: tetragonal
D(E_F): 0.447 states/eV per atom

***

(ii)
# KGe2Rh2

A relaxed structure of KGe2Rh2 (PBE, the Alexandria database).

a b c (Å): 4.188 4.188 5.653
angles (deg): 90.00 90.00 90.00
Element x y z (fractional)
K (0.000, 0.000, 0.000)
Ge (0.500, 0.500, 0.255)
Ge (0.500, 0.500, 0.745)
Rh (0.000, 0.500, 0.500)
Rh (0.500, 0.000, 0.500)

## Properties
crystal system: tetragonal
D(E_F): 0.599 states/eV per atom

***

Short version: (ii) is the least stable of them.